Below is a relaxed structure of La2Sn2Hg, with properties calculated at the GGA-PBE level.

Results
Energy of formation from the pure elements: -0.248 eV/atom
Energy relative to the lowest polymorph listed for this composition: 0.442 eV/atom
Calculated volume: 35.1 Å³/atom
Size of the total moment: 0.00 Bohr magnetons per cell

abc: 6.2749 6.2749 6.2749
angles: 119.76 119.76 90.42
Last column: nearest neighbours and their distance in Å.
Sites, in units of the cell vectors:
La  0.2500  0.7500  0.5000  4 Sn 3.24
La  0.7500  0.2500  0.5000  4 Sn 3.24
Sn  0.1661  0.1661  0.0000  1 Sn 2.94, 1 Hg 2.95, 4 La 3.24
Sn  0.8339  0.8339  0.0000  1 Sn 2.94, 1 Hg 2.95, 4 La 3.24
Hg  0.5000  0.5000  0.0000  2 Sn 2.95